Material: Ni2OsRh3
Method: DFT, PBE
State: optimized geometry

Lattice parameters (Å, degrees): 8.7727 8.3476 4.6184 79.50 69.33 31.17
Last column: nearest neighbours and their distance in Å.
Fractional coordinates of all 12 atoms:
Ni1 0.0417 0.0417 0.7083  8 Rh 2.61-2.68, 2 Os 2.66, 2 Ni 2.66
Ni2 0.2917 0.2917 0.9583  8 Rh 2.61-2.68, 2 Os 2.66, 2 Ni 2.66
Ni3 0.7083 0.7083 0.0417  8 Rh 2.61-2.68, 2 Os 2.66, 2 Ni 2.66
Ni4 0.9583 0.9583 0.2917  8 Rh 2.61-2.68, 2 Os 2.66, 2 Ni 2.66
Os1 0.3750 0.3750 0.3750  8 Rh 2.64-2.67, 4 Ni 2.66
Os2 0.6250 0.6250 0.6250  8 Rh 2.64-2.67, 4 Ni 2.66
Rh1 0.1250 0.1250 0.1250  6 Ni 2.64-2.66, 4 Rh 2.64, 2 Os 2.65
Rh2 0.2064 0.2064 0.5436  5 Ni 2.61-2.68, 3 Os 2.64-2.67, 4 Rh 2.64-2.69
Rh3 0.4564 0.4564 0.7936  5 Ni 2.61-2.68, 3 Os 2.64-2.67, 4 Rh 2.64-2.69
Rh4 0.5436 0.5436 0.2064  5 Ni 2.61-2.68, 4 Rh 2.64-2.69, 3 Os 2.64-2.67
Rh5 0.7936 0.7936 0.4564  5 Ni 2.61-2.68, 4 Rh 2.64-2.69, 3 Os 2.64-2.67
Rh6 0.8750 0.8750 0.8750  6 Ni 2.64-2.66, 4 Rh 2.64, 2 Os 2.65

Output
Energy of formation (eV per atom): 0.059
Volume (Å³/f.u.): 79.4

Material: NiOs2Rh
Method: DFT, PBE
State: optimized geometry

Lattice parameters (Å, degrees): 5.3228 5.3228 5.3228 150.21 132.00 57.52
Last column: nearest neighbours and their distance in Å.
Fractional coordinates of all 4 atoms:
Ni1 0.0000 0.0000 0.0000  4 Os 2.46, 4 Rh 2.56, 2 Ni 2.74
Os1 0.2185 0.7185 0.5000  2 Ni 2.46, 6 Os 2.63-2.74
Os2 0.7815 0.2815 0.5000  2 Ni 2.46, 6 Os 2.63-2.74
Rh1 0.5000 0.5000 0.0000  4 Ni 2.56, 2 Rh 2.74

Output
Energy of formation (eV per atom): 0.288
Volume (Å³/f.u.): 55.3

Material: NiOs2Rh6
Method: DFT, PBE
State: optimized geometry

Lattice parameters (Å, degrees): 8.1131 6.0599 6.0319 84.28 48.01 47.71
Last column: nearest neighbours and their distance in Å.
Fractional coordinates of all 9 atoms:
Ni1 0.0000 0.0000 0.0000  8 Rh 2.66, 4 Os 2.75
Os1 0.3285 0.3285 0.6715  2 Os 2.63, 8 Rh 2.63-2.70, 2 Ni 2.75
Os2 0.6715 0.6715 0.3285  2 Os 2.63, 8 Rh 2.63-2.70, 2 Ni 2.75
Rh1 0.0040 0.3282 0.6718  3 Os 2.63-2.66, 1 Ni 2.66, 8 Rh 2.70-2.79
Rh2 0.3282 0.0040 0.9960  3 Os 2.63-2.66, 1 Ni 2.66, 8 Rh 2.70-2.79
Rh3 0.3386 0.6614 0.3386  2 Ni 2.66, 8 Rh 2.70-2.79, 2 Os 2.70
Rh4 0.6614 0.3386 0.6614  2 Ni 2.66, 8 Rh 2.70-2.79, 2 Os 2.70
Rh5 0.6718 0.9960 0.0040  3 Os 2.63-2.66, 1 Ni 2.66, 8 Rh 2.70-2.79
Rh6 0.9960 0.6718 0.3282  3 Os 2.63-2.66, 1 Ni 2.66, 8 Rh 2.70-2.79

Output
Energy of formation (eV per atom): 0.014
Volume (Å³/f.u.): 125.6
Relative energy among the computed polymorphs (eV per formula unit): 0.000

Material: Ni4OsRh
Method: DFT, PBE
State: optimized geometry

Lattice parameters (Å, degrees): 4.6614 4.6614 4.6614 60.00 60.00 60.00
Last column: nearest neighbours and their distance in Å.
Fractional coordinates of all 6 atoms:
Ni1 0.1249 0.1249 0.1249  6 Ni 2.33
Ni2 0.1249 0.1249 0.6254  6 Ni 2.33
Ni3 0.1249 0.6254 0.1249  6 Ni 2.33
Ni4 0.6254 0.1249 0.1249  6 Ni 2.33
Os1 0.7500 0.7500 0.7500  12 Ni 2.73, 4 Rh 2.85
Rh1 0.5000 0.5000 0.5000  12 Ni 2.73, 4 Os 2.85

Output
Energy of formation (eV per atom): 0.175
Volume (Å³/f.u.): 71.6
Relative energy among the computed polymorphs (eV per formula unit): 0.494

Material: NiOs2Rh
Method: DFT, PBE
State: optimized geometry

Lattice parameters (Å, degrees): 6.6043 6.6043 6.6043 131.87 131.87 70.43
Last column: nearest neighbours and their distance in Å.
Fractional coordinates of all 8 atoms:
Ni1 0.0000 0.0000 0.0000  4 Os 2.29
Ni2 0.7500 0.2500 0.5000  4 Os 2.29
Os1 0.1095 0.6250 0.9845  2 Ni 2.29, 2 Rh 2.38
Os2 0.3750 0.3595 0.4845  2 Ni 2.29, 2 Rh 2.38
Os3 0.6405 0.1250 0.0155  2 Ni 2.29, 2 Rh 2.38
Os4 0.8750 0.8905 0.5155  2 Ni 2.29, 2 Rh 2.38
Rh1 0.2500 0.7500 0.5000  4 Os 2.38
Rh2 0.5000 0.5000 0.0000  4 Os 2.38

Output
Energy of formation (eV per atom): 1.458
Volume (Å³/f.u.): 78.3

Material: NiOs2Rh
Method: DFT, PBE
State: optimized geometry

Lattice parameters (Å, degrees): 2.6826 2.6826 7.4933 90.00 90.00 90.00
Last column: nearest neighbours and their distance in Å.
Fractional coordinates of all 4 atoms:
Ni1 0.0000 0.0000 0.0000  8 Os 2.60, 4 Ni 2.68
Os1 0.5000 0.5000 0.2379  4 Ni 2.60, 4 Os 2.68, 4 Rh 2.73
Os2 0.5000 0.5000 0.7621  4 Ni 2.60, 4 Os 2.68, 4 Rh 2.73
Rh1 0.0000 0.0000 0.5000  4 Rh 2.68, 8 Os 2.73

Output
Energy of formation (eV per atom): 0.195
Volume (Å³/f.u.): 53.9

The highest energy of formation belongs to which entry?
number 5

Which of these has the highest volume?
NiOs2Rh6

What is the formula in the fourth record?
Ni4OsRh

energy of formation of number 1 (Ni2OsRh3)?
0.059 eV per atom